# K2HoMnF6 (GGA+U, relaxed)
data_K2HoMnF6
_space_group_name_H-M_alt 'P 1'
_space_group_IT_number 1
_cell_length_a 5.881
_cell_length_b 5.470
_cell_length_c 7.373
_cell_angle_alpha 63.82
_cell_angle_beta 65.59
_cell_angle_gamma 90.22
loop_
_space_group_symop_operation_xyz
'x,y,z'
loop_
_atom_site_label
_atom_site_type_symbol
_atom_site_fract_x
_atom_site_fract_y
_atom_site_fract_z
_atom_site_occupancy
K1 K 0.733 0.264 0.520 1
K2 K 0.267 0.736 0.480 1
Ho1 Ho 0.000 0.000 0.000 1
Mn1 Mn 0.500 0.500 0.000 1
F1 F 0.194 0.067 0.656 1
F2 F 0.683 0.651 0.135 1
F3 F 0.189 0.669 0.140 1
F4 F 0.811 0.331 0.860 1
F5 F 0.317 0.349 0.865 1
F6 F 0.806 0.933 0.344 1
# * space group: P-1, No. 2
# * total energy: -5.539 eV per atom
# * D(E_F): 1.78 states/eV/f.u.

***

# KHoMnF6 (GGA+U, relaxed)
data_KHoMnF6
_space_group_name_H-M_alt 'P 1'
_space_group_IT_number 1
_cell_length_a 5.880
_cell_length_b 5.880
_cell_length_c 10.958
_cell_angle_alpha 90.00
_cell_angle_beta 90.00
_cell_angle_gamma 120.00
loop_
_space_group_symop_operation_xyz
'x,y,z'
loop_
_atom_site_label
_atom_site_type_symbol
_atom_site_fract_x
_atom_site_fract_y
_atom_site_fract_z
_atom_site_occupancy
K1 K 0.000 0.000 0.000 1
K2 K 0.000 0.000 0.500 1
Ho1 Ho 0.667 0.333 0.250 1
Ho2 Ho 0.333 0.667 0.750 1
Mn1 Mn 0.333 0.667 0.250 1
Mn2 Mn 0.667 0.333 0.750 1
F1 F 0.623 0.627 0.146 1
F2 F 0.003 0.377 0.146 1
F3 F 0.377 0.003 0.646 1
F4 F 0.997 0.623 0.854 1
F5 F 0.373 0.377 0.354 1
F6 F 0.003 0.627 0.354 1
F7 F 0.627 0.003 0.854 1
F8 F 0.623 0.997 0.354 1
F9 F 0.997 0.373 0.646 1
F10 F 0.373 0.997 0.146 1
F11 F 0.627 0.623 0.646 1
F12 F 0.377 0.373 0.854 1
# * space group: P-31c, No. 163
# * total energy: -6.063 eV per atom
# * D(E_F): 0.00 states/eV/f.u.

***

# K2HoNi3F12 (GGA+U, relaxed)
data_K2HoNi3F12
_space_group_name_H-M_alt 'P 1'
_space_group_IT_number 1
_cell_length_a 7.370
_cell_length_b 7.370
_cell_length_c 7.370
_cell_angle_alpha 59.73
_cell_angle_beta 59.73
_cell_angle_gamma 59.73
loop_
_space_group_symop_operation_xyz
'x,y,z'
loop_
_atom_site_label
_atom_site_type_symbol
_atom_site_fract_x
_atom_site_fract_y
_atom_site_fract_z
_atom_site_occupancy
K1 K 0.622 0.622 0.622 1
K2 K 0.378 0.378 0.378 1
Ho1 Ho 0.000 0.000 0.000 1
Ni1 Ni 0.500 0.000 0.000 1
Ni2 Ni 0.000 0.500 0.000 1
Ni3 Ni 0.000 0.000 0.500 1
F1 F 0.304 0.304 0.913 1
F2 F 0.903 0.903 0.361 1
F3 F 0.361 0.903 0.903 1
F4 F 0.913 0.304 0.304 1
F5 F 0.903 0.361 0.903 1
F6 F 0.304 0.913 0.304 1
F7 F 0.696 0.696 0.087 1
F8 F 0.097 0.097 0.639 1
F9 F 0.639 0.097 0.097 1
F10 F 0.087 0.696 0.696 1
F11 F 0.097 0.639 0.097 1
F12 F 0.696 0.087 0.696 1
# * space group: R-3m, No. 166
# * total energy: -4.698 eV per atom
# * D(E_F): 1.64 states/eV/f.u.

***

# K2HoNiF6 (GGA+U, relaxed)
data_K2HoNiF6
_space_group_name_H-M_alt 'P 1'
_space_group_IT_number 1
_cell_length_a 5.962
_cell_length_b 5.970
_cell_length_c 9.756
_cell_angle_alpha 90.00
_cell_angle_beta 90.00
_cell_angle_gamma 90.00
loop_
_space_group_symop_operation_xyz
'x,y,z'
loop_
_atom_site_label
_atom_site_type_symbol
_atom_site_fract_x
_atom_site_fract_y
_atom_site_fract_z
_atom_site_occupancy
K1 K 0.500 0.752 0.249 1
K2 K 0.000 0.248 0.749 1
K3 K 0.500 0.752 0.751 1
K4 K 0.000 0.248 0.251 1
Ho1 Ho 0.000 0.744 0.500 1
Ho2 Ho 0.500 0.256 0.000 1
Ni1 Ni 0.500 0.244 0.500 1
Ni2 Ni 0.000 0.756 0.000 1
F1 F 0.500 0.254 0.221 1
F2 F 0.500 0.254 0.779 1
F3 F 0.000 0.746 0.279 1
F4 F 0.000 0.746 0.721 1
F5 F 0.256 0.998 0.500 1
F6 F 0.744 0.998 0.500 1
F7 F 0.254 0.487 0.500 1
F8 F 0.746 0.487 0.500 1
F9 F 0.754 0.513 0.000 1
F10 F 0.246 0.513 0.000 1
F11 F 0.244 0.002 0.000 1
F12 F 0.756 0.002 0.000 1
# * space group: Pmmn, No. 59
# * total energy: -5.010 eV per atom